# 1
First-principles (GGA-PBE) data for an optimized crystal structure of Ce3ErIr8, as listed in the Alexandria database.

Summary:
ΔH_f (0 K) = -0.782 eV per atom
Final energy = -8.553 eV per atom
N(E_F) = 50.09 states/eV per cell
Calculated density = 16.0 Mg/m³
Size of the total moment = 1.17 μB per cell

Cell lengths 5.3835, 5.3835, 26.3589 Å; angles 90.00, 90.00, 120.00 degrees
Closest atoms and distances in Å follow each position.
Space group R3m (No. 160, hexagonal axes)
Asymmetric unit:
Ce1 0.0000 0.0000 0.0000 (multiplicity 3)  12 Ir 3.15-3.16, 1 Ce 3.29, 3 Er 3.30
Ce2 0.0000 0.0000 0.1248 (multiplicity 3)  12 Ir 3.16, 4 Ce 3.29
Ce3 0.0000 0.0000 0.4995 (multiplicity 3)  12 Ir 3.15-3.17, 3 Ce 3.29, 1 Er 3.30
Er1 0.0000 0.0000 0.6247 (multiplicity 3)  12 Ir 3.14-3.16, 4 Ce 3.30
Ir1 0.0000 0.0000 0.3120 (multiplicity 3)  6 Ir 2.67-2.69
Ir2 0.0000 0.0000 0.8123 (multiplicity 3)  6 Ir 2.70
Ir3 0.9997 0.4998 0.5627 (multiplicity 9)  6 Ir 2.67-2.70
Ir4 0.1669 0.3339 0.3951 (multiplicity 9)  6 Ir 2.69-2.70


# 2
First-principles (GGA-PBE) data for an optimized crystal structure of Ac6Hg3PdRh2, as listed in the Alexandria database.

Summary:
ΔH_f (0 K) = -0.618 eV per atom
Final energy = -4.406 eV per atom
N(E_F) = 15.64 states/eV per cell
Calculated density = 9.4 Mg/m³
Size of the total moment = 0.00 μB per cell

Cell lengths 7.5203, 12.9936, 8.5912 Å; angles 90.00, 106.84, 90.00 degrees
Closest atoms and distances in Å follow each position.
Space group C2/m (No. 12)
Asymmetric unit:
Ac1 0.2255 0.0000 0.2040 (multiplicity 4)  2 Rh 2.99, 1 Pd 3.07
Ac2 0.2403 0.3289 0.2074 (multiplicity 8)  2 Rh 3.00, 1 Pd 3.09
Hg1 0.0000 0.0000 0.5000 (multiplicity 2)  6 Ac 3.44-3.50
Hg2 0.0000 0.3391 0.5000 (multiplicity 4)  6 Ac 3.47-3.50
Pd1 0.0000 0.5000 0.0000 (multiplicity 2)  6 Ac 3.07-3.09
Rh1 0.0000 0.1673 0.0000 (multiplicity 4)  6 Ac 2.99-3.00


# 3
First-principles (GGA-PBE) data for an optimized crystal structure of Ti4GaPd3, as listed in the Alexandria database.

Summary:
ΔH_f (0 K) = -0.522 eV per atom
Final energy = -6.795 eV per atom
N(E_F) = 19.31 states/eV per cell
Calculated density = 7.7 Mg/m³
Energy above the lowest structure with this stoichiometry = 0.00 eV per formula unit
Size of the total moment = 0.00 μB per cell

Cell lengths 9.2407, 5.5161, 4.9055 Å; angles 90.00, 90.00, 90.00 degrees
Closest atoms and distances in Å follow each position.
Space group Pmma (No. 51)
Asymmetric unit:
Ti1 0.0000 0.2504 0.0000 (multiplicity 4)  4 Ti 2.75-2.92, 6 Pd 2.78-2.81, 2 Ga 2.81
Ti2 0.2500 0.2489 0.3626 (multiplicity 4)  6 Pd 2.72-2.92, 4 Ti 2.75-2.92, 2 Ga 2.78
Ga1 0.0000 0.5000 0.5000 (multiplicity 2)  4 Pd 2.76-2.85, 8 Ti 2.78-2.81
Pd1 0.0000 0.0000 0.5000 (multiplicity 2)  2 Ga 2.76, 8 Ti 2.77-2.81, 2 Pd 2.91
Pd2 0.2500 0.0000 0.8604 (multiplicity 2)  4 Pd 2.76-2.91, 8 Ti 2.78-2.82
Pd3 0.2500 0.5000 0.8391 (multiplicity 2)  8 Ti 2.72-2.92, 2 Pd 2.76, 2 Ga 2.85


# 4
First-principles (GGA-PBE) data for an optimized crystal structure of LaAl2Mo2, as listed in the Alexandria database.

Summary:
ΔH_f (0 K) = -0.014 eV per atom
Final energy = -6.829 eV per atom
N(E_F) = 7.46 states/eV per cell
Calculated density = 6.7 Mg/m³
Energy above the lowest structure with this stoichiometry = 0.00 eV per formula unit
Size of the total moment = 0.01 μB per cell

Cell lengths 8.2660, 8.2660, 2.7917 Å; angles 90.00, 90.00, 90.00 degrees
Closest atoms and distances in Å follow each position.
Space group P4/mbm (No. 127)
Asymmetric unit:
La1 0.0000 0.0000 0.0000 (multiplicity 2)  2 La 2.79, 4 Al 3.05
Al1 0.1759 0.3241 0.0000 (multiplicity 4)  2 Al 2.79, 6 Mo 2.81-2.85, 2 La 3.05
Mo1 0.1116 0.6116 0.5000 (multiplicity 4)  3 Mo 2.61-2.79, 6 Al 2.81-2.85


# 5
First-principles (GGA-PBE) data for an optimized crystal structure of YBeCoGe2, as listed in the Alexandria database.

Summary:
ΔH_f (0 K) = -0.501 eV per atom
Final energy = -5.808 eV per atom
N(E_F) = 7.37 states/eV per cell
Calculated density = 6.4 Mg/m³
Size of the total moment = 0.47 μB per cell

Cell lengths 3.9117, 3.9117, 10.2738 Å; angles 90.00, 90.00, 90.00 degrees
Closest atoms and distances in Å follow each position.
Space group I-4m2 (No. 119)
Asymmetric unit:
Y1 0.0000 0.0000 0.0000 (multiplicity 2)  8 Ge 3.05, 4 Co 3.23, 4 Be 3.23
Be1 0.0000 0.5000 0.2500 (multiplicity 2)  4 Ge 2.34
Co1 0.0000 0.5000 0.7500 (multiplicity 2)  4 Ge 2.34
Ge1 0.0000 0.0000 0.3747 (multiplicity 4)  2 Co 2.34, 2 Be 2.34, 1 Ge 2.57


# 6
First-principles (GGA-PBE) data for an optimized crystal structure of YAlMo, as listed in the Alexandria database.

Summary:
ΔH_f (0 K) = 0.129 eV per atom
Final energy = -6.884 eV per atom
N(E_F) = 8.04 states/eV per cell
Calculated density = 5.9 Mg/m³
Energy above the lowest structure with this stoichiometry = 0.50 eV per formula unit
Size of the total moment = 0.07 μB per cell

Cell lengths 4.2401, 4.2605, 13.1420 Å; angles 90.00, 90.00, 90.00 degrees
Closest atoms and distances in Å follow each position.
Space group Fmm2 (No. 42)
Asymmetric unit:
Y1 0.0000 0.0000 0.0000 (multiplicity 4)  4 Y 3.01, 4 Mo 3.17-3.18, 4 Al 3.22
Al1 0.0000 0.0000 0.3160 (multiplicity 4)  4 Mo 2.78, 4 Al 3.01
Mo1 0.0000 0.0000 0.6797 (multiplicity 4)  4 Al 2.78, 4 Mo 3.01


# 7
First-principles (GGA-PBE) data for an optimized crystal structure of CaHo2Hg4, as listed in the Alexandria database.

Summary:
ΔH_f (0 K) = -0.397 eV per atom
Final energy = -2.164 eV per atom
N(E_F) = 9.65 states/eV per cell
Calculated density = 9.8 Mg/m³
Size of the total moment = 0.00 μB per cell

Cell lengths 7.4686, 7.4686, 7.0889 Å; angles 90.00, 90.00, 90.00 degrees
Closest atoms and distances in Å follow each position.
Space group I4/mmm (No. 139)
Asymmetric unit:
Ca1 0.0000 0.0000 0.0000 (multiplicity 2)  8 Hg 3.18
Ho1 0.0000 0.5000 0.0000 (multiplicity 4)  8 Hg 3.18, 2 Ho 3.54
Hg1 0.2500 0.2500 0.2500 (multiplicity 8)  4 Ho 3.18, 2 Ca 3.18, 2 Hg 3.54


# 8
First-principles (GGA-PBE) data for an optimized crystal structure of CsLiHg2, as listed in the Alexandria database.

Summary:
ΔH_f (0 K) = -0.077 eV per atom
Final energy = -0.920 eV per atom
N(E_F) = 8.96 states/eV per cell
Calculated density = 6.1 Mg/m³
Energy above the lowest structure with this stoichiometry = 0.69 eV per formula unit
Size of the total moment = 0.00 μB per cell

Cell lengths 8.3760, 8.3760, 8.3760 Å; angles 90.00, 90.00, 90.00 degrees
Closest atoms and distances in Å follow each position.
Space group Fm-3m (No. 225)
Asymmetric unit:
Cs1 0.0000 0.0000 0.0000 (multiplicity 4)  8 Hg 3.63
Li1 0.0000 0.0000 0.5000 (multiplicity 4)  8 Hg 3.63
Hg1 0.2500 0.2500 0.2500 (multiplicity 8)  4 Cs 3.63, 4 Li 3.63


# 9
First-principles (GGA-PBE) data for an optimized crystal structure of RbMnAlPd2, as listed in the Alexandria database.

Summary:
ΔH_f (0 K) = 1.195 eV per atom
Final energy = -3.658 eV per atom
N(E_F) = 6.38 states/eV per cell
Calculated density = 5.3 Mg/m³
Size of the total moment = 0.00 μB per cell

Cell lengths 4.7169, 4.7169, 5.3297 Å; angles 90.00, 90.00, 90.00 degrees
Closest atoms and distances in Å follow each position.
Space group P4/mmm (No. 123)
Asymmetric unit:
Rb1 0.0000 0.0000 0.0000 (multiplicity 1)  2 Mn 2.66
Mn1 0.0000 0.0000 0.5000 (multiplicity 1)  4 Pd 2.36
Al1 0.5000 0.5000 0.0000 (multiplicity 1)  4 Rb 3.34, 8 Pd 3.56
Pd1 0.0000 0.5000 0.5000 (multiplicity 2)  2 Mn 2.36